A relaxed CrSnO2 crystal, computed with PBE+U.

## Properties
offset from the most stable computed form: 424 meV/atom
DOS at the Fermi energy: 0.00 states/eV/atom

The structure in CIF format:
```
data_CrSnO2
_space_group_name_H-M_alt 'I 41/a m d'
_space_group_IT_number 141
_cell_length_a 4.885
_cell_length_b 4.885
_cell_length_c 9.409
_cell_angle_alpha 90.00
_cell_angle_beta 90.00
_cell_angle_gamma 90.00
loop_
_space_group_symop_operation_xyz
'x,y,z'
'-x,-y,-z'
'-y+1/4,x+3/4,z+1/4'
'y+1/4,-x+3/4,-z+1/4'
'-x+1/2,-y,z+1/2'
'x+1/2,y,-z+1/2'
'y+1/4,-x+1/4,z+3/4'
'-y+1/4,x+1/4,-z+3/4'
'x,-y,-z'
'-x,y,z'
'-y+1/4,-x+1/4,-z+3/4'
'y+1/4,x+1/4,z+3/4'
'-x+1/2,y,-z+1/2'
'x+1/2,-y,z+1/2'
'y+1/4,x+3/4,-z+1/4'
'-y+1/4,-x+3/4,z+1/4'
'x+1/2,y+1/2,z+1/2'
'-x+1/2,-y+1/2,-z+1/2'
'-y+3/4,x+1/4,z+3/4'
'y+3/4,-x+1/4,-z+3/4'
'-x,-y+1/2,z'
'x,y+1/2,-z'
'y+3/4,-x+3/4,z+1/4'
'-y+3/4,x+3/4,-z+1/4'
'x+1/2,-y+1/2,-z+1/2'
'-x+1/2,y+1/2,z+1/2'
'-y+3/4,-x+3/4,-z+1/4'
'y+3/4,x+3/4,z+1/4'
'-x,y+1/2,-z'
'x,-y+1/2,z'
'y+3/4,x+1/4,-z+3/4'
'-y+3/4,-x+1/4,z+3/4'
loop_
_atom_site_label
_atom_site_type_symbol
_atom_site_fract_x
_atom_site_fract_y
_atom_site_fract_z
Cr1 Cr 0.000 0.250 0.375
Sn1 Sn 0.000 0.250 0.875
O1 O 0.000 0.250 0.153
```


A relaxed CrAsF crystal, computed with PBE+U.

## Properties
uncorrected energy: -5.66 eV/atom
DOS at the Fermi energy: 0.18 states/eV/atom

The structure in CIF format:
```
data_CrAsF
_space_group_name_H-M_alt 'A m m 2'
_space_group_IT_number 38
_cell_length_a 13.763
_cell_length_b 3.084
_cell_length_c 5.386
_cell_angle_alpha 90.00
_cell_angle_beta 90.00
_cell_angle_gamma 90.00
loop_
_space_group_symop_operation_xyz
'x,y,z'
'-x,-y,z'
'-x,y,z'
'x,-y,z'
'x,y+1/2,z+1/2'
'-x,-y+1/2,z+1/2'
'-x,y+1/2,z+1/2'
'x,-y+1/2,z+1/2'
loop_
_atom_site_label
_atom_site_type_symbol
_atom_site_fract_x
_atom_site_fract_y
_atom_site_fract_z
Cr1 Cr 0.000 0.000 0.000
Cr2 Cr 0.500 0.000 0.341
As1 As 0.350 0.000 0.009
F1 F 0.092 0.000 0.500
```